## A
A relaxed TbPa crystal. Source: the Open Quantum Materials Database, functional PBE-GGA.

Lattice parameters (Å, degrees): 6.1788 6.1788 6.1788 90.00 90.00 90.00
Closest atoms and distances in Å follow each position.
Space group Fm-3m (No. 225)
Inequivalent atoms, fractional coordinates:
1 Tb 0.0000 0.0000 0.0000 (multiplicity 4)  6 Pa 3.09
2 Pa 0.0000 0.0000 0.5000 (multiplicity 4)  6 Tb 3.09

Output
mass density = 10.98 g/cm3
total magnetic moment = 1.86 μB/f.u.

## B
A relaxed TbPa crystal. Source: the Open Quantum Materials Database, functional PBE-GGA.

Lattice parameters (Å, degrees): 5.3197 5.3197 5.3776 90.00 90.00 120.00
Closest atoms and distances in Å follow each position.
Space group P6_3/mmc (No. 194)
Inequivalent atoms, fractional coordinates:
1 Tb 0.3333 0.6667 0.2500 (multiplicity 2)  6 Pa 3.35
2 Pa 0.0000 0.0000 0.0000 (multiplicity 2)  2 Pa 2.69

Output
mass density = 9.83 g/cm3
total magnetic moment = 1.63 μB/f.u.

It is B that is most stable; the runner-up trails by 287 meV/atom.

## A
A relaxed TbPa crystal. Source: the Open Quantum Materials Database, functional PBE-GGA.

Lattice parameters (Å, degrees): 6.3936 6.3936 6.3936 90.00 90.00 90.00
Closest atoms and distances in Å follow each position.
Space group F-43m (No. 216)
Inequivalent atoms, fractional coordinates:
1 Tb 0.0000 0.0000 0.0000 (multiplicity 4)  4 Pa 2.77
2 Pa 0.2500 0.2500 0.2500 (multiplicity 4)  4 Tb 2.77

Output
mass density = 9.91 g/cm3
total magnetic moment = 0.94 μB/f.u.

## B
A relaxed TbPa crystal. Source: the Open Quantum Materials Database, functional PBE-GGA.

Lattice parameters (Å, degrees): 3.6566 3.6566 8.8179 90.00 90.00 120.00
Closest atoms and distances in Å follow each position.
Space group P6_3/mmc (No. 194)
Inequivalent atoms, fractional coordinates:
1 Tb 0.0000 0.0000 0.0000 (multiplicity 2)  6 Pa 3.05
2 Pa 0.3333 0.6667 0.2500 (multiplicity 2)  6 Tb 3.05

Output
mass density = 12.68 g/cm3
total magnetic moment = 0.31 μB/f.u.

It is B that is most stable; the runner-up trails by 1250 meV/atom.

## A
A relaxed PaTc crystal. Source: the Open Quantum Materials Database, functional PBE-GGA.

Lattice parameters (Å, degrees): 5.5152 5.5152 5.5152 90.00 90.00 90.00
Closest atoms and distances in Å follow each position.
Space group Fm-3m (No. 225)
Inequivalent atoms, fractional coordinates:
1 Pa 0.0000 0.0000 0.0000 (multiplicity 4)  6 Tc 2.76
2 Tc 0.0000 0.0000 0.5000 (multiplicity 4)  6 Pa 2.76

Output
mass density = 13.03 g/cm3
total magnetic moment = 0.00 μB/f.u.

## B
A relaxed PaTc crystal. Source: the Open Quantum Materials Database, functional PBE-GGA.

Lattice parameters (Å, degrees): 3.1902 3.1902 4.5142 90.00 90.00 120.00
Closest atoms and distances in Å follow each position.
Space group P-6m2 (No. 187)
Inequivalent atoms, fractional coordinates:
1 Pa 0.0000 0.0000 0.0000 (multiplicity 1)  6 Tc 2.91, 6 Pa 3.19
2 Tc 0.6667 0.3333 0.5000 (multiplicity 1)  6 Pa 2.91, 6 Tc 3.19

Output
mass density = 13.73 g/cm3
total magnetic moment = 0.00 μB/f.u.

It is A that is most stable; the runner-up trails by 178 meV/atom.

## A
A relaxed PaTc crystal. Source: the Open Quantum Materials Database, functional PBE-GGA.

Lattice parameters (Å, degrees): 3.7302 3.7302 7.0443 90.00 90.00 120.00
Closest atoms and distances in Å follow each position.
Space group P6_3/mmc (No. 194)
Inequivalent atoms, fractional coordinates:
1 Pa 0.0000 0.0000 0.0000 (multiplicity 2)  6 Tc 2.78
2 Tc 0.3333 0.6667 0.2500 (multiplicity 2)  6 Pa 2.78

Output
mass density = 12.87 g/cm3
total magnetic moment = 0.00 μB/f.u.

## B
A relaxed PaTc crystal. Source: the Open Quantum Materials Database, functional PBE-GGA.

Lattice parameters (Å, degrees): 4.1242 4.1242 5.9063 90.00 90.00 120.00
Closest atoms and distances in Å follow each position.
Space group P6_3/mmc (No. 194)
Inequivalent atoms, fractional coordinates:
1 Pa 0.3333 0.6667 0.2500 (multiplicity 2)  6 Tc 2.80
2 Tc 0.0000 0.0000 0.0000 (multiplicity 2)  6 Pa 2.80, 2 Tc 2.95

Output
mass density = 12.56 g/cm3
total magnetic moment = 0.00 μB/f.u.

It is B that is most stable; the runner-up trails by 242 meV/atom.

## A
A relaxed PaTc2 crystal. Source: the Open Quantum Materials Database, functional PBE-GGA.

Lattice parameters (Å, degrees): 11.1654 11.1654 11.1654 90.00 90.00 90.00
Closest atoms and distances in Å follow each position.
Space group Fd-3m (No. 227, origin choice 2)
Inequivalent atoms, fractional coordinates:
1 Pa 0.1250 0.1250 0.1250 (multiplicity 8)  4 Tc 2.42
2 Tc 0.0000 0.0000 0.0000 (multiplicity 16)  2 Pa 2.42

Output
mass density = 4.08 g/cm3
total magnetic moment = 2.74 μB/f.u.

## B
A relaxed PaTc2 crystal. Source: the Open Quantum Materials Database, functional PBE-GGA.

Lattice parameters (Å, degrees): 5.1764 5.1764 9.5020 90.00 90.00 120.00
Closest atoms and distances in Å follow each position.
Space group P6_3/mmc (No. 194)
Inequivalent atoms, fractional coordinates:
1 Pa 0.3333 0.6667 0.0623 (multiplicity 4)  12 Tc 3.05-3.31, 3 Pa 3.21
2 Tc 0.0000 0.0000 0.0000 (multiplicity 2)  6 Tc 2.82, 6 Pa 3.05
3 Tc 0.1695 0.3390 0.7500 (multiplicity 6)  6 Tc 2.54-2.82

Output
mass density = 12.86 g/cm3
total magnetic moment = 0.00 μB/f.u.

It is B that is most stable; the runner-up trails by 2895 meV/atom.

## A
A relaxed PaTlTe crystal. Source: the Open Quantum Materials Database, functional PBE-GGA.

Lattice parameters (Å, degrees): 7.2988 7.2988 7.2988 90.00 90.00 90.00
Closest atoms and distances in Å follow each position.
Space group F-43m (No. 216)
Inequivalent atoms, fractional coordinates:
1 Pa 0.0000 0.0000 0.0000 (multiplicity 4)  4 Te 3.16
2 Tl 0.0000 0.0000 0.5000 (multiplicity 4)  4 Te 3.16
3 Te 0.2500 0.2500 0.2500 (multiplicity 4)  4 Tl 3.16, 4 Pa 3.16

Output
mass density = 9.62 g/cm3
total magnetic moment = 2.00 μB/f.u.

## B
A relaxed PaTlTe crystal. Source: the Open Quantum Materials Database, functional PBE-GGA.

Lattice parameters (Å, degrees): 7.3131 7.3131 7.3131 90.00 90.00 90.00
Closest atoms and distances in Å follow each position.
Space group F-43m (No. 216)
Inequivalent atoms, fractional coordinates:
1 Pa 0.0000 0.0000 0.0000 (multiplicity 4)  4 Tl 3.17, 4 Te 3.17
2 Tl 0.2500 0.2500 0.2500 (multiplicity 4)  4 Pa 3.17
3 Te 0.2500 0.2500 0.7500 (multiplicity 4)  4 Pa 3.17

Output
mass density = 9.56 g/cm3
total magnetic moment = 1.40 μB/f.u.

It is B that is most stable; the runner-up trails by 100 meV/atom.

## A
A relaxed PaTeW crystal. Source: the Open Quantum Materials Database, functional PBE-GGA.

Lattice parameters (Å, degrees): 6.8824 6.8824 6.8824 90.00 90.00 90.00
Closest atoms and distances in Å follow each position.
Space group F-43m (No. 216)
Inequivalent atoms, fractional coordinates:
1 Pa 0.0000 0.0000 0.0000 (multiplicity 4)  4 W 2.98, 4 Te 2.98
2 Te 0.2500 0.2500 0.7500 (multiplicity 4)  4 Pa 2.98
3 W 0.2500 0.2500 0.2500 (multiplicity 4)  4 Pa 2.98

Output
mass density = 11.05 g/cm3
total magnetic moment = 0.02 μB/f.u.

## B
A relaxed PaTeW crystal. Source: the Open Quantum Materials Database, functional PBE-GGA.

Lattice parameters (Å, degrees): 6.6649 6.6649 6.6649 90.00 90.00 90.00
Closest atoms and distances in Å follow each position.
Space group F-43m (No. 216)
Inequivalent atoms, fractional coordinates:
1 Pa 0.0000 0.0000 0.0000 (multiplicity 4)  4 W 2.89
2 Te 0.0000 0.0000 0.5000 (multiplicity 4)  4 W 2.89
3 W 0.2500 0.2500 0.2500 (multiplicity 4)  4 Pa 2.89, 4 Te 2.89

Output
mass density = 12.17 g/cm3
total magnetic moment = 0.00 μB/f.u.

It is B that is most stable; the runner-up trails by 645 meV/atom.

## A
A relaxed PaTl crystal. Source: the Open Quantum Materials Database, functional PBE-GGA.

Lattice parameters (Å, degrees): 6.8761 6.8761 6.8761 90.00 90.00 90.00
Closest atoms and distances in Å follow each position.
Space group F-43m (No. 216)
Inequivalent atoms, fractional coordinates:
1 Pa 0.0000 0.0000 0.0000 (multiplicity 4)  4 Tl 2.98
2 Tl 0.2500 0.2500 0.7500 (multiplicity 4)  4 Pa 2.98

Output
mass density = 8.90 g/cm3
total magnetic moment = 0.03 μB/f.u.

## B
A relaxed PaTl crystal. Source: the Open Quantum Materials Database, functional PBE-GGA.

Lattice parameters (Å, degrees): 3.2479 3.2479 5.6861 90.00 90.00 120.00
Closest atoms and distances in Å follow each position.
Space group P-6m2 (No. 187)
Inequivalent atoms, fractional coordinates:
1 Pa 0.0000 0.0000 0.0000 (multiplicity 1)  6 Pa 3.25, 6 Tl 3.41
2 Tl 0.6667 0.3333 0.5000 (multiplicity 1)  6 Tl 3.25, 6 Pa 3.41

Output
mass density = 13.92 g/cm3
total magnetic moment = 0.03 μB/f.u.

## C
A relaxed PaTl crystal. Source: the Open Quantum Materials Database, functional PBE-GGA.

Lattice parameters (Å, degrees): 6.2396 6.2396 6.2396 90.00 90.00 90.00
Closest atoms and distances in Å follow each position.
Space group Fm-3m (No. 225)
Inequivalent atoms, fractional coordinates:
1 Pa 0.0000 0.0000 0.0000 (multiplicity 4)  6 Tl 3.12
2 Tl 0.0000 0.0000 0.5000 (multiplicity 4)  6 Pa 3.12

Output
mass density = 11.91 g/cm3
total magnetic moment = 0.00 μB/f.u.

It is B that is most stable; the runner-up trails by 538 meV/atom.